Density functional theory data (PBE-GGA) for a relaxed DyPaReTc crystal.

Output
Formation enthalpy at 0 K, kJ/mol of atoms: -2.6
E_tot, eV/atom: -9.2550

abc: 6.8643 6.8643 6.8643
angles: 90.00 90.00 90.00
Space group F-43m (No. 216)
Symmetry-distinct sites (fractional):
1 Dy 0.0000 0.0000 0.0000 (multiplicity 4)
2 Pa 0.0000 0.0000 0.5000 (multiplicity 4)
3 Re 0.2500 0.2500 0.2500 (multiplicity 4)
4 Tc 0.2500 0.2500 0.7500 (multiplicity 4)